1.
# EuHo3Cu

An optimized crystal structure of EuHo3Cu (GGA-PBE, Alexandria).

Unit cell a=5.4231 b=5.4231 c=5.4231 alpha=90.00 beta=90.00 gamma=90.00
Last column: nearest neighbours and their distance in Å.
Atoms (fractional coordinates):
Eu: 0.0000 0.0000 0.0000  12 Ho 3.83
Ho: 0.0000 0.5000 0.5000  2 Cu 2.71
Ho: 0.5000 0.0000 0.5000  2 Cu 2.71
Ho: 0.5000 0.5000 0.0000  2 Cu 2.71
Cu: 0.5000 0.5000 0.5000  6 Ho 2.71

Summary:
Calculated volume   31.90 Å³ per atom
M_tot   7.35 Bohr magnetons per cell
Crystal system   cubic
Total DFT energy (no corrections)   -5.539 eV per atom

2.
# USb2Ru2

An optimized crystal structure of USb2Ru2 (GGA-PBE, Alexandria).

Unit cell a=4.6684 b=4.5975 c=10.1092 alpha=90.00 beta=96.57 gamma=90.00
Last column: nearest neighbours and their distance in Å.
Atoms (fractional coordinates):
U: 0.1681 0.2500 0.1520  2 Ru 2.47-2.56
U: 0.8319 0.7500 0.8480  2 Ru 2.47-2.56
Sb: 0.2441 0.2500 0.4840  4 Ru 2.71-2.97
Sb: 0.3127 0.2500 0.7980  5 Ru 2.71-2.91
Sb: 0.6873 0.7500 0.2020  5 Ru 2.71-2.91
Sb: 0.7559 0.7500 0.5160  4 Ru 2.71-2.97
Ru: 0.2253 0.7500 0.3416  6 Sb 2.71-2.97, 2 U 2.99
Ru: 0.3447 0.7500 0.9422  2 U 2.47-2.56, 2 Sb 2.72
Ru: 0.6553 0.2500 0.0578  2 U 2.47-2.56, 2 Sb 2.72
Ru: 0.7747 0.2500 0.6584  6 Sb 2.71-2.97, 2 U 2.99

Summary:
Calculated volume   21.56 Å³ per atom
M_tot   1.87 Bohr magnetons per cell
Raw formation energy   -0.23 eV/atom
Crystal system   monoclinic